Record 1
Tm2Th2S7 | GGA-PBE | relaxed

Cell lengths 4.703, 4.703, 13.191 Å; angles 90.00, 90.00, 90.00 degrees
Fractional positions:
S 0.000 0.000 0.500
S 0.500 0.500 0.000
S 0.500 0.500 0.500
S 0.000 0.000 0.239
S 0.000 0.000 0.761
Tm 0.500 0.000 0.396
Th 0.500 0.000 0.851
Tm 0.000 0.500 0.604
Th 0.000 0.500 0.149
S 0.500 0.500 0.740
S 0.500 0.500 0.260

Computed properties:
The symmetry is No. 115. The energy relative to the elements, uncorrected is -1.74 eV per atom. The theoretical density is 5.84 g cm⁻³. The crystal system is tetragonal.

Record 2
ScTcAg2 | GGA-PBE | relaxed

Cell lengths 2.877, 4.382, 5.529 Å; angles 90.00, 90.00, 90.00 degrees
Fractional positions:
Sc 0.500 0.500 0.250
Tc 0.500 0.500 0.750
Ag 0.000 0.000 0.993
Ag 0.000 0.000 0.507

Computed properties:
The symmetry is No. 47. The theoretical density is 8.55 g cm⁻³. The crystal system is orthorhombic. For the formation energy, the calculation gives 20.93 kJ per mole of atoms.

Record 3
LiZr2InSi | GGA-PBE | relaxed

Cell lengths 5.035, 5.001, 5.035 Å; angles 90.00, 90.00, 90.00 degrees
Fractional positions:
Si 0.000 0.000 0.000
Li 0.500 0.500 0.500
Zr 0.500 0.000 0.000
In 0.000 0.500 0.000
Zr 0.000 0.000 0.500

Computed properties:
The symmetry is No. 123. The energy relative to the elements, uncorrected is 0.34 eV per atom. The theoretical density is 4.35 g cm⁻³. The crystal system is tetragonal.